Here is a PBEsol-optimized structure of CsSb2CI from the Alexandria database. Energies are from SCAN.

a b c (Å): 6.586 6.586 6.820
angles (deg): 90.00 90.00 90.00
Atoms (fractional coordinates):
Cs 0.000 0.000 0.000
Sb 0.000 0.500 0.000
Sb 0.500 0.000 0.000
C 0.500 0.500 0.500
I 0.000 0.000 0.500

Summary:
As for the symmetry: P4/mmm, No. 123. As for the total DFT energy (no corrections): -147.15 eV/cell. For the total magnetization, the calculation gives 8.01 Bohr magnetons per cell.

=====

Here is a PBEsol-optimized structure of CsY10C4I18 from the Alexandria database. Energies are from SCAN.

a b c (Å): 11.076 11.141 11.216
angles (deg): 66.77 87.11 60.58
Atoms (fractional coordinates):
Cs 0.000 0.000 0.000
Y 0.173 0.278 0.208
Y 0.221 0.355 0.487
Y 0.393 0.944 0.499
Y 0.406 0.395 0.206
Y 0.462 0.965 0.826
Y 0.538 0.035 0.174
Y 0.594 0.605 0.794
Y 0.607 0.056 0.501
Y 0.779 0.645 0.513
Y 0.827 0.722 0.792
C 0.347 0.221 0.379
C 0.424 0.144 0.302
C 0.576 0.856 0.698
C 0.653 0.779 0.621
I 0.057 0.527 0.671
I 0.110 0.038 0.342
I 0.139 0.572 0.994
I 0.177 0.095 0.670
I 0.237 0.628 0.317
I 0.273 0.147 0.997
I 0.332 0.687 0.654
I 0.432 0.699 0.006
I 0.479 0.247 0.671
I 0.521 0.753 0.329
I 0.568 0.301 0.994
I 0.668 0.313 0.346
I 0.727 0.853 0.003
I 0.763 0.372 0.683
I 0.823 0.905 0.330
I 0.861 0.428 0.006
I 0.890 0.962 0.658
I 0.943 0.473 0.329

Summary:
As for the symmetry: P-1, No. 2. As for the total DFT energy (no corrections): -1064.39 eV/cell. For the total magnetization, the calculation gives 1.05 Bohr magnetons per cell.

=====

Here is a PBEsol-optimized structure of Cs2Zr7CI18 from the Alexandria database. Energies are from SCAN.

a b c (Å): 11.479 11.479 11.479
angles (deg): 55.46 55.46 55.46
Atoms (fractional coordinates):
Cs 0.224 0.224 0.224
Cs 0.776 0.776 0.776
Zr 0.088 0.193 0.853
Zr 0.147 0.912 0.807
Zr 0.193 0.853 0.088
Zr 0.500 0.500 0.500
Zr 0.807 0.147 0.912
Zr 0.853 0.088 0.193
Zr 0.912 0.807 0.147
C 0.000 0.000 0.000
I 0.059 0.928 0.350
I 0.072 0.650 0.941
I 0.132 0.578 0.290
I 0.210 0.476 0.645
I 0.290 0.132 0.578
I 0.350 0.059 0.928
I 0.355 0.790 0.524
I 0.422 0.710 0.868
I 0.476 0.645 0.210
I 0.524 0.355 0.790
I 0.578 0.290 0.132
I 0.645 0.210 0.476
I 0.650 0.941 0.072
I 0.710 0.868 0.422
I 0.790 0.524 0.355
I 0.868 0.422 0.710
I 0.928 0.350 0.059
I 0.941 0.072 0.650

Summary:
As for the symmetry: R-3, No. 148. As for the total DFT energy (no corrections): -994.69 eV/cell. For the total magnetization, the calculation gives 0.25 Bohr magnetons per cell.

=====

Here is a PBEsol-optimized structure of CsIrC3 from the Alexandria database. Energies are from SCAN.

a b c (Å): 4.254 4.254 4.254
angles (deg): 90.00 90.00 90.00
Atoms (fractional coordinates):
Cs 0.000 0.000 0.000
Ir 0.500 0.500 0.500
C 0.000 0.000 0.500
C 0.000 0.500 0.000
C 0.500 0.000 0.000

Summary:
As for the symmetry: Pm-3m, No. 221. As for the total DFT energy (no corrections): -114.10 eV/cell. For the total magnetization, the calculation gives 0.00 Bohr magnetons per cell. The value obtained for the calculated formation energy is 5.02 eV/atom.

=====

Here is a PBEsol-optimized structure of Cs2LiIrC6N6 from the Alexandria database. Energies are from SCAN.

a b c (Å): 7.543 7.543 7.543
angles (deg): 60.00 60.00 60.00
Atoms (fractional coordinates):
Cs 0.250 0.250 0.250
Cs 0.750 0.750 0.750
Li 0.000 0.000 0.000
Ir 0.500 0.500 0.500
C 0.313 0.313 0.687
C 0.313 0.687 0.313
C 0.313 0.687 0.687
C 0.687 0.313 0.313
C 0.687 0.313 0.687
C 0.687 0.687 0.313
N 0.203 0.203 0.797
N 0.203 0.797 0.203
N 0.203 0.797 0.797
N 0.797 0.203 0.203
N 0.797 0.203 0.797
N 0.797 0.797 0.203

Summary:
As for the symmetry: Fm-3m, No. 225. As for the total DFT energy (no corrections): -270.65 eV/cell. For the total magnetization, the calculation gives 0.00 Bohr magnetons per cell.

=====

Here is a PBEsol-optimized structure of CsMgIr2C from the Alexandria database. Energies are from SCAN.

a b c (Å): 4.657 4.657 6.127
angles (deg): 90.00 90.00 90.00
Atoms (fractional coordinates):
Cs 0.000 0.000 0.000
Mg 0.000 0.000 0.500
Ir 0.000 0.500 0.500
Ir 0.500 0.000 0.500
C 0.500 0.500 0.000

Summary:
As for the symmetry: P4/mmm, No. 123. As for the total DFT energy (no corrections): -182.28 eV/cell. For the total magnetization, the calculation gives 0.27 Bohr magnetons per cell. The value obtained for the calculated formation energy is 2.56 eV/atom.

=====

Here is a PBEsol-optimized structure of CsKC3 from the Alexandria database. Energies are from SCAN.

a b c (Å): 5.487 5.487 5.487
angles (deg): 90.00 90.00 90.00
Atoms (fractional coordinates):
Cs 0.000 0.000 0.000
K 0.500 0.500 0.500
C 0.000 0.500 0.500
C 0.500 0.000 0.500
C 0.500 0.500 0.000

Summary:
As for the symmetry: Pm-3m, No. 221. As for the total DFT energy (no corrections): -60.89 eV/cell. For the total magnetization, the calculation gives 8.00 Bohr magnetons per cell. The value obtained for the calculated formation energy is 3.11 eV/atom.

=====

Here is a PBEsol-optimized structure of CsLaC3 from the Alexandria database. Energies are from SCAN.

a b c (Å): 4.463 4.463 4.463
angles (deg): 90.00 90.00 90.00
Atoms (fractional coordinates):
Cs 0.000 0.000 0.000
La 0.500 0.500 0.500
C 0.000 0.000 0.500
C 0.000 0.500 0.000
C 0.500 0.000 0.000

Summary:
As for the symmetry: Pm-3m, No. 221. As for the total DFT energy (no corrections): -96.35 eV/cell. For the total magnetization, the calculation gives 0.00 Bohr magnetons per cell. The value obtained for the calculated formation energy is 2.97 eV/atom.